No. 1
Below is a relaxed PmMgCuGe crystal, with properties calculated at the PBE level.

Properties
As for the symmetry: No. 216. The total energy comes out at -4.126 eV/atom. The calculation puts the formation energy from the elements at -361 meV/atom.

```
data_PmMgCuGe
_space_group_name_H-M_alt 'P 1'
_space_group_IT_number 1
_cell_length_a 4.873
_cell_length_b 4.873
_cell_length_c 4.873
_cell_angle_alpha 60.00
_cell_angle_beta 60.00
_cell_angle_gamma 60.00
loop_
_space_group_symop_operation_xyz
'x,y,z'
loop_
_atom_site_label
_atom_site_type_symbol
_atom_site_fract_x
_atom_site_fract_y
_atom_site_fract_z
_atom_site_occupancy
Ge1 Ge 0.250 0.250 0.250 1
Mg1 Mg 0.000 0.000 0.000 1
Cu1 Cu 0.750 0.750 0.750 1
Pm1 Pm 0.500 0.500 0.500 1
```

No. 2
Below is a relaxed MoPdC2 crystal, with properties calculated at the PBE level.

Properties
As for the symmetry: No. 225. The total energy comes out at -7.345 eV/atom. The calculation puts the formation energy from the elements at 1273 meV/atom.

```
data_MoPdC2
_space_group_name_H-M_alt 'P 1'
_space_group_IT_number 1
_cell_length_a 3.873
_cell_length_b 3.873
_cell_length_c 3.873
_cell_angle_alpha 60.00
_cell_angle_beta 60.00
_cell_angle_gamma 60.00
loop_
_space_group_symop_operation_xyz
'x,y,z'
loop_
_atom_site_label
_atom_site_type_symbol
_atom_site_fract_x
_atom_site_fract_y
_atom_site_fract_z
_atom_site_occupancy
Mo1 Mo 0.000 0.000 0.000 1
C1 C 0.250 0.250 0.250 1
C2 C 0.750 0.750 0.750 1
Pd1 Pd 0.500 0.500 0.500 1
```